GGA-PBE TaBeRu, optimized geometry; final energy = -8.430 eV/atom; calculated volume = 42.2 Å³/f.u.; formation energy from the elements = -0.1456 eV/atom
1.0
4.1051 0.0000 0.0000
-2.0525 3.5551 0.0000
0.0000 0.0000 2.8931
Ta Be Ru
1 1 1
direct
0.0000 0.0000 0.0000
0.6667 0.3333 0.5067
0.3333 0.6667 0.6034



GGA-PBE Tb6HoCd5, optimized geometry; final energy = -3.296 eV/atom; calculated volume = 328.1 Å³/f.u.; formation energy from the elements = -0.2177 eV/atom
1.0
-2.6322 3.8955 7.9996
2.6322 -3.8955 7.9996
2.6322 3.8955 -7.9996
Tb Ho Cd
6 1 5
direct
0.0737 0.3293 0.7444
0.2312 0.0000 0.2312
0.4151 0.6707 0.7444
0.5849 0.3293 0.2556
0.7688 0.0000 0.7688
0.9263 0.6707 0.2556
0.5000 0.5000 0.0000
0.0000 0.5000 0.5000
0.1691 0.1691 0.0000
0.3469 0.8469 0.5000
0.6531 0.1531 0.5000
0.8309 0.8309 0.0000



GGA-PBE LaHPdPt2, optimized geometry; final energy = -5.741 eV/atom; calculated volume = 78.4 Å³/f.u.
1.0
4.2197 0.0000 0.0000
0.0000 4.2197 0.0000
0.0000 0.0000 4.4051
La H Pd Pt
1 1 1 2
direct
0.0000 0.0000 0.0000
0.5000 0.5000 0.5000
0.5000 0.5000 0.0000
0.0000 0.5000 0.5000
0.5000 0.0000 0.5000



GGA-PBE Zr2MnMo, optimized geometry; final energy = -9.091 eV/atom; calculated volume = 70.7 Å³/f.u.; formation energy from the elements = 0.1833 eV/atom
1.0
1.7189 -2.4216 0.0000
1.7189 2.4216 0.0000
0.0000 0.0000 8.4972
Zr Mn Mo
2 1 1
direct
0.0000 0.0000 0.2316
0.0000 0.0000 0.7684
0.5000 0.5000 0.0000
0.5000 0.5000 0.5000



GGA-PBE Ac4NdY, optimized geometry; final energy = -4.271 eV/atom; calculated volume = 260.2 Å³/f.u.; formation energy from the elements = 0.3401 eV/atom
1.0
0.0000 5.0669 5.0669
5.0669 0.0000 5.0669
5.0669 5.0669 0.0000
Ac Nd Y
4 1 1
direct
0.3755 0.3755 0.3755
0.3755 0.3755 0.8734
0.3755 0.8734 0.3755
0.8734 0.3755 0.3755
0.0000 0.0000 0.0000
0.7500 0.7500 0.7500



GGA-PBE Tl3PbBr6, optimized geometry; final energy = -2.858 eV/atom; calculated volume = 398.2 Å³/f.u.; raw formation energy = -0.77 eV per atom
1.0
3.9220 2.2644 7.4734
-3.9220 2.2644 7.4734
0.0000 -4.5288 7.4734
Tl Pb Br
3 1 6
direct
0.0000 0.0000 0.0000
0.1926 0.1926 0.1926
0.7025 0.7025 0.7025
0.5111 0.5111 0.5111
0.1220 0.4104 0.7899
0.3113 0.9162 0.5679
0.4104 0.7899 0.1220
0.5679 0.3113 0.9162
0.7899 0.1220 0.4104
0.9162 0.5679 0.3113



GGA-PBE TbPuBi2, optimized geometry; final energy = -7.159 eV/atom; calculated volume = 117.0 Å³/f.u.; formation energy from the elements = -0.4777 eV/atom
1.0
3.7406 0.0000 0.0000
0.0000 3.7406 0.0000
0.0000 0.0000 8.3603
Tb Pu Bi
1 1 2
direct
0.0000 0.0000 0.0000
0.0000 0.0000 0.5000
0.5000 0.5000 0.2457
0.5000 0.5000 0.7543



GGA-PBE Ti2Cu2Pd, optimized geometry; final energy = -5.815 eV/atom; calculated volume = 79.4 Å³/f.u.; formation energy from the elements = 0.0203 eV/atom
1.0
2.2035 -3.3623 0.0000
2.2035 3.3623 0.0000
0.0000 0.0000 5.3592
Ti Cu Pd
2 2 1
direct
0.0000 0.0000 0.2381
0.0000 0.0000 0.7619
0.3288 0.6712 0.0000
0.6712 0.3288 0.0000
0.5000 0.5000 0.5000



GGA-PBE Nd2Ga4IrRh3, optimized geometry; final energy = -6.034 eV/atom; calculated volume = 188.2 Å³/f.u.; formation energy from the elements = -0.7783 eV/atom
1.0
4.3292 0.0000 0.0000
0.0000 4.3292 0.0000
0.0000 0.0000 10.0395
Nd Ga Ir Rh
2 4 1 3
direct
0.0000 0.5000 0.2371
0.5000 0.0000 0.7629
0.0000 0.0000 0.5000
0.0000 0.5000 0.8730
0.5000 0.0000 0.1270
0.5000 0.5000 0.5000
0.5000 0.5000 0.0000
0.0000 0.0000 0.0000
0.0000 0.5000 0.6260
0.5000 0.0000 0.3740



GGA-PBE Cd2PbF6, optimized geometry; final energy = -4.113 eV/atom; calculated volume = 158.3 Å³/f.u.; raw formation energy = -2.25 eV per atom
1.0
5.9622 0.0000 0.0000
-2.9811 5.1634 0.0000
0.0000 0.0000 5.1406
Cd Pb F
2 1 6
direct
0.3333 0.6667 0.0000
0.6667 0.3333 0.0000
0.0000 0.0000 0.5000
0.0000 0.3464 0.2276
0.0000 0.6536 0.7724
0.3464 0.0000 0.2276
0.3464 0.3464 0.7724
0.6536 0.0000 0.7724
0.6536 0.6536 0.2276



GGA-PBE Zr2HgTeRh, optimized geometry; final energy = -4.479 eV/atom; calculated volume = 143.9 Å³/f.u.; raw formation energy = 1.10 eV per atom
1.0
5.2620 0.0000 0.0000
0.0000 5.2620 0.0000
0.0000 0.0000 5.1968
Zr Hg Te Rh
2 1 1 1
direct
0.0000 0.5000 0.0000
0.5000 0.0000 0.0000
0.0000 0.0000 0.5000
0.0000 0.0000 0.0000
0.5000 0.5000 0.5000



GGA-PBE CaHo3Ru2, optimized geometry; final energy = -6.007 eV/atom; calculated volume = 148.9 Å³/f.u.; formation energy from the elements = -0.2923 eV/atom
1.0
3.4286 0.0000 0.0000
0.0000 3.4286 0.0000
0.0000 0.0000 12.6709
Ca Ho Ru
1 3 2
direct
0.0000 0.0000 0.0000
0.5000 0.5000 0.2391
0.5000 0.5000 0.5000
0.5000 0.5000 0.7609
0.0000 0.0000 0.3600
0.0000 0.0000 0.6400



GGA-PBE BeTcIr, optimized geometry; final energy = -7.722 eV/atom; calculated volume = 38.9 Å³/f.u.; formation energy from the elements = -0.0710 eV/atom
1.0
3.5612 0.0000 0.0000
0.0000 3.5612 0.0000
0.0000 0.0000 6.1373
Be Tc Ir
2 2 2
direct
0.2500 0.2500 0.1989
0.7500 0.7500 0.8011
0.2500 0.7500 0.5000
0.7500 0.2500 0.5000
0.2500 0.2500 0.8342
0.7500 0.7500 0.1658



GGA-PBE SrTl2Au, optimized geometry; final energy = -2.670 eV/atom; calculated volume = 107.8 Å³/f.u.; formation energy from the elements = -0.2469 eV/atom
1.0
0.0000 3.7770 3.7770
3.7770 0.0000 3.7770
3.7770 3.7770 0.0000
Sr Tl Au
1 2 1
direct
0.0000 0.0000 0.0000
0.2500 0.2500 0.2500
0.7500 0.7500 0.7500
0.5000 0.5000 0.5000



GGA-PBE LiZnW, optimized geometry; final energy = -5.132 eV/atom; calculated volume = 45.2 Å³/f.u.; formation energy from the elements = 0.2481 eV/atom
1.0
0.0000 2.0214 6.6516
1.6815 0.0000 6.6516
1.6815 2.0214 0.0000
Li Zn W
1 1 1
direct
0.0000 0.0000 0.0000
0.6624 0.6624 0.3376
0.3271 0.3271 0.6729



GGA-PBE ZnBiH, optimized geometry; final energy = -2.787 eV/atom; calculated volume = 73.0 Å³/f.u.
1.0
10.1864 -1.7346 0.0000
10.1864 1.7346 0.0000
-0.8591 0.0000 4.1326
Zn Bi H
2 2 2
direct
0.0000 0.0000 0.0000
0.5264 0.5264 0.5260
0.6197 0.6197 0.1177
0.9067 0.9067 0.4082
0.2451 0.2451 0.7490
0.2829 0.2829 0.7778



GGA-PBE PmY3Tl3, optimized geometry; final energy = -4.752 eV/atom; calculated volume = 208.2 Å³/f.u.; formation energy from the elements = -0.2885 eV/atom
1.0
9.4084 0.0000 0.0000
0.0000 9.4084 0.0000
0.0000 0.0000 9.4084
Pm Y Tl
4 12 12
direct
0.0726 0.4274 0.5726
0.4274 0.5726 0.0726
0.5726 0.0726 0.4274
0.9274 0.9274 0.9274
0.0763 0.5763 0.9237
0.1787 0.1787 0.1787
0.1787 0.8213 0.3213
0.3213 0.1787 0.8213
0.3213 0.8213 0.6787
0.4237 0.4237 0.4237
0.5763 0.9237 0.0763
0.6787 0.3213 0.8213
0.6787 0.6787 0.6787
0.8213 0.3213 0.1787
0.8213 0.6787 0.3213
0.9237 0.0763 0.5763
0.0002 0.2536 0.8815
0.9998 0.7536 0.6185
0.1185 0.5002 0.2464
0.2464 0.1185 0.5002
0.2536 0.8815 0.0002
0.3815 0.4998 0.7464
0.5002 0.2464 0.1185
0.4998 0.7464 0.3815
0.6185 0.9998 0.7536
0.7464 0.3815 0.4998
0.7536 0.6185 0.9998
0.8815 0.0002 0.2536



GGA-PBE BaCoRhCl6, optimized geometry; final energy = -4.144 eV/atom; calculated volume = 239.1 Å³/f.u.; raw formation energy = -1.09 eV per atom
1.0
3.1857 -5.6608 0.0000
3.1857 5.6608 0.0000
-0.1157 0.0000 6.6291
Ba Co Rh Cl
1 1 1 6
direct
0.0000 0.0000 0.0000
0.6600 0.3400 0.5000
0.3303 0.6697 0.5000
0.0047 0.3773 0.2939
0.3657 0.3747 0.7030
0.3711 0.0012 0.2981
0.6227 0.9953 0.7061
0.6253 0.6343 0.2970
0.9988 0.6289 0.7019



GGA-PBE PuTcH4, optimized geometry; final energy = -6.485 eV/atom; calculated volume = 52.8 Å³/f.u.
1.0
-2.4249 2.4249 4.4861
2.4249 -2.4249 4.4861
2.4249 2.4249 -4.4861
Pu Tc H
2 2 8
direct
0.3750 0.6250 0.7500
0.6250 0.3750 0.2500
0.1250 0.8750 0.2500
0.8750 0.1250 0.7500
0.0000 0.1894 0.1894
0.0000 0.8106 0.8106
0.1894 0.0000 0.6894
0.1894 0.5000 0.1894
0.5000 0.1894 0.6894
0.5000 0.8106 0.3106
0.8106 0.0000 0.3106
0.8106 0.5000 0.8106



GGA-PBE Er2PdPt, optimized geometry; final energy = -6.197 eV/atom; calculated volume = 83.4 Å³/f.u.; formation energy from the elements = -1.1075 eV/atom
1.0
4.9296 0.0000 0.0000
0.0000 4.9296 0.0000
0.0000 0.0000 3.4308
Er Pd Pt
2 1 1
direct
0.0000 0.5000 0.0000
0.5000 0.0000 0.0000
0.0000 0.0000 0.5000
0.5000 0.5000 0.5000